# TlBi4Se6

A geometry-optimized TlBi4Se6 structure (GGA-PBE, the Alexandria database).

```
TlBi4Se6
1.0
2.2293 -6.9430 0.0000
2.2293 6.9430 0.0000
0.0000 0.0000 21.7026
Tl Bi Se
2 8 12
direct
0.1597 0.8403 0.7500
0.8403 0.1597 0.2500
0.0929 0.9071 0.1347
0.0929 0.9071 0.3653
0.3641 0.6359 0.0427
0.3641 0.6359 0.4573
0.6359 0.3641 0.5427
0.6359 0.3641 0.9573
0.9071 0.0929 0.6347
0.9071 0.0929 0.8653
0.0000 0.0000 0.0000
0.0000 0.0000 0.5000
0.1828 0.8172 0.2500
0.2619 0.7381 0.5830
0.2619 0.7381 0.9170
0.4669 0.5331 0.1588
0.4669 0.5331 0.3412
0.5331 0.4669 0.6588
0.5331 0.4669 0.8412
0.7381 0.2619 0.0830
0.7381 0.2619 0.4170
0.8172 0.1828 0.7500
```

## Properties
E_form (uncorrected) = -0.364 eV per atom